Record 1
Computed, not measured: AlInC2 after structural relaxation at the GGA-PBE level of DFT.

Structure (POSCAR):
```
AlInC2
1.0
0.000 2.897 2.897
2.897 0.000 2.897
2.897 2.897 0.000
Al In C
1 1 2
Cartesian
0.000 0.000 0.000
2.897 2.897 2.897
1.449 1.449 1.449
4.346 4.346 4.346
```

Properties
Excess energy over the best structure of this formula in the dataset: 828.6 meV per atom
M_tot: 0.00 μB/cell
Total energy: -17.56 eV per cell
Crystal system: cubic
E_form: 1.84 eV per atom
Mass density: 5.66 g cm⁻³



Record 2
Computed, not measured: LaPm2PrSm6 after structural relaxation at the GGA-PBE level of DFT.

Structure (POSCAR):
```
LaPm2PrSm6
1.0
4.612 -7.707 0.000
4.612 7.707 0.000
-1.508 0.000 9.840
La Pm Pr Sm
2 4 2 12
Cartesian
3.481 6.235 7.380
4.235 -6.235 2.460
0.946 0.782 9.422
1.700 -0.782 4.502
6.016 0.782 5.338
6.770 -0.782 0.418
4.235 0.332 2.460
3.481 -0.332 7.380
3.124 6.095 3.722
2.493 3.506 1.780
5.347 6.095 1.198
3.142 2.866 5.474
3.820 2.866 9.286
5.978 3.506 3.140
1.739 -3.506 6.701
3.896 -2.866 0.554
4.574 -2.866 4.366
2.370 -6.095 8.642
5.224 -3.506 8.060
4.593 -6.095 6.118
```

Properties
M_tot: 0.00 μB/cell
Total energy: -92.69 eV per cell
Crystal system: monoclinic
E_form: 0.12 eV per atom
Mass density: 6.99 g cm⁻³



Record 3
Computed, not measured: LaDyInSn after structural relaxation at the GGA-PBE level of DFT.

Structure (POSCAR):
```
LaDyInSn
1.0
0.000 3.865 3.865
3.865 0.000 3.865
3.865 3.865 0.000
La Dy In Sn
1 1 1 1
Cartesian
0.000 0.000 0.000
3.865 3.865 3.865
5.798 5.798 5.798
1.933 1.933 1.933
```

Properties
Excess energy over the best structure of this formula in the dataset: 66.8 meV per atom
M_tot: 0.00 μB/cell
Total energy: -18.46 eV per cell
Crystal system: cubic
E_form: -0.55 eV per atom
Mass density: 7.69 g cm⁻³



> What is the total energy in the third record?

-18.46 eV per cell